Ba6LiCu2 | GGA-PBE | optimized geometry

Unit cell a=11.264 b=11.747 c=12.107 alpha=90.00 beta=90.00 gamma=90.00
Space group Immm (No. 71)
Unique sites:
Ba (0.000, 0.203, 0.219) x8
Ba (0.194, 0.500, 0.181) x8
Ba (0.202, 0.317, 0.500) x8
Li (0.000, 0.000, 0.000) x2
Li (0.000, 0.000, 0.500) x2
Cu (0.000, 0.391, 0.000) x4
Cu (0.000, 0.500, 0.395) x4

Calculated values
- formation energy from the elements (meV per atom) = 10

---

Ba2LiMgCu | GGA-PBE | optimized geometry

Unit cell a=6.283 b=6.283 c=4.887 alpha=90.00 beta=90.00 gamma=90.00
Space group P4/mmm (No. 123)
Unique sites:
Ba (0.000, 0.500, 0.000) x2
Li (0.000, 0.000, 0.500) x1
Mg (0.500, 0.500, 0.500) x1
Cu (0.000, 0.000, 0.000) x1

Calculated values
- formation energy from the elements (meV per atom) = 76
- polymorph energy (0 for the lowest one) (meV per atom) = 23